No. 1
VASP calculation (GGA-PBE) on a relaxed structure of Sc2TiCr.

a = 7.3340 Å, b = 7.3340 Å, c = 5.9047 Å
α = 51.61°, β = 51.61°, γ = 90.00°
Last column: nearest neighbours and their distance in Å.
Atoms (fractional coordinates):
1 Sc 0.6534 0.1250 0.2500  2 Cr 2.55, 2 Ti 2.83, 2 Sc 2.85
2 Sc 0.0966 0.6250 0.2500  2 Cr 2.55, 2 Ti 2.83, 2 Sc 2.85
3 Sc 0.3750 0.3466 0.7500  2 Cr 2.55, 2 Ti 2.83, 2 Sc 2.85
4 Sc 0.8750 0.9034 0.7500  2 Cr 2.55, 2 Ti 2.83, 2 Sc 2.85
5 Cr 0.0000 0.0000 0.0000  4 Sc 2.55, 2 Ti 2.82
6 Cr 0.7500 0.2500 0.5000  4 Sc 2.55, 2 Ti 2.82
7 Ti 0.5000 0.5000 0.0000  2 Cr 2.82, 4 Sc 2.83
8 Ti 0.2500 0.7500 0.5000  2 Cr 2.82, 4 Sc 2.83

Computed properties:
**Offset from the most stable computed form**: 0.256 eV/atom
**Calculated formation energy**: 684 meV per atom
**E**: -6.861 eV per atom



No. 2
VASP calculation (GGA-PBE) on a relaxed structure of Pm3PrNdSm.

a = 5.8113 Å, b = 10.7123 Å, c = 6.9880 Å
α = 90.15°, β = 90.00°, γ = 105.74°
Last column: nearest neighbours and their distance in Å.
Atoms (fractional coordinates):
1 Pm 0.8374 0.6749 0.2554  2 Sm 3.50, 2 Pr 3.53, 4 Pm 3.66-3.79
2 Pm 0.7802 0.5604 0.7502  1 Nd 3.38, 3 Sm 3.38-3.62, 3 Pr 3.38-3.63, 2 Pm 3.66-3.72
3 Pm 0.4803 0.9606 0.2525  1 Pr 3.26, 1 Sm 3.27, 2 Nd 3.30, 2 Pm 3.55-3.62
4 Pm 0.2198 0.4396 0.2498  1 Nd 3.38, 3 Sm 3.38-3.62, 3 Pr 3.38-3.63, 2 Pm 3.66-3.72
5 Pm 0.5197 0.0394 0.7475  1 Pr 3.26, 1 Sm 3.27, 2 Nd 3.30, 2 Pm 3.55-3.62
6 Pm 0.1626 0.3251 0.7446  2 Sm 3.50, 2 Pr 3.53, 4 Pm 3.66-3.79
7 Pr 0.3538 0.7077 0.9724  1 Sm 3.09, 2 Pm 3.26-3.38
8 Pr 0.6462 0.2923 0.0276  1 Sm 3.09, 2 Pm 3.26-3.38
9 Nd 0.0561 0.1122 0.2547  3 Pm 3.30-3.38
10 Nd 0.9439 0.8878 0.7453  3 Pm 3.30-3.38
11 Sm 0.6467 0.2933 0.4692  1 Pr 3.09, 2 Pm 3.27-3.38
12 Sm 0.3533 0.7067 0.5308  1 Pr 3.09, 2 Pm 3.27-3.38

Computed properties:
**Calculated formation energy**: 161 meV per atom
**E**: -4.592 eV per atom



No. 3
VASP calculation (GGA-PBE) on a relaxed structure of Ag4Br2O.

a = 4.4831 Å, b = 4.4831 Å, c = 8.1389 Å
α = 74.01°, β = 74.01°, γ = 90.00°
Last column: nearest neighbours and their distance in Å.
Atoms (fractional coordinates):
1 O 0.0000 0.0000 0.0000  6 Ag 2.24-2.40
2 Br 0.3385 0.3385 0.3229  1 Ag 2.67
3 Br 0.6615 0.6615 0.6771  1 Ag 2.67
4 Ag 0.1603 0.1603 0.6793  1 O 2.40, 1 Br 2.67
5 Ag 0.8397 0.8397 0.3207  1 O 2.40, 1 Br 2.67
6 Ag 0.0000 0.5000 0.0000  2 O 2.24
7 Ag 0.5000 0.0000 0.0000  2 O 2.24

Computed properties:
**E**: -2.956 eV per atom



No. 4
VASP calculation (GGA-PBE) on a relaxed structure of CdNiAu14.

a = 5.8164 Å, b = 5.8164 Å, c = 9.5606 Å
α = 90.00°, β = 90.00°, γ = 117.60°
Last column: nearest neighbours and their distance in Å.
Atoms (fractional coordinates):
1 Cd 0.0492 0.9508 0.5000  10 Au 2.89-2.96, 2 Ni 3.01
2 Ni 0.5481 0.4519 0.5000  10 Au 2.85-2.91, 2 Cd 3.01
3 Au 0.2008 0.7992 0.0000  12 Au 2.91-3.02
4 Au 0.7019 0.2981 0.0000  12 Au 2.90-3.01
5 Au 0.0450 0.4474 0.5000  8 Au 2.88-3.06, 2 Cd 2.90-2.92, 2 Ni 2.90-2.91
6 Au 0.2047 0.3007 0.0000  12 Au 2.90-3.05
7 Au 0.5526 0.9550 0.5000  8 Au 2.88-3.06, 2 Cd 2.90-2.92, 2 Ni 2.90-2.91
8 Au 0.6993 0.7953 0.0000  12 Au 2.90-3.05
9 Au 0.3798 0.1326 0.7430  1 Ni 2.85, 10 Au 2.87-3.09, 1 Cd 2.89
10 Au 0.3798 0.1326 0.2570  1 Ni 2.85, 10 Au 2.87-3.09, 1 Cd 2.89
11 Au 0.8674 0.6202 0.7430  1 Ni 2.85, 10 Au 2.87-3.09, 1 Cd 2.89
12 Au 0.8674 0.6202 0.2570  1 Ni 2.85, 10 Au 2.87-3.09, 1 Cd 2.89
13 Au 0.3755 0.6245 0.7421  11 Au 2.87-3.02, 1 Ni 2.88
14 Au 0.3755 0.6245 0.2579  11 Au 2.87-3.02, 1 Ni 2.88
15 Au 0.8765 0.1235 0.7515  11 Au 2.90-3.01, 1 Cd 2.96
16 Au 0.8765 0.1235 0.2485  11 Au 2.90-3.01, 1 Cd 2.96

Computed properties:
**Calculated formation energy**: 7 meV per atom
**E**: -3.279 eV per atom



No. 5
VASP calculation (GGA-PBE) on a relaxed structure of Tl12Hg6Pt.

a = 8.3572 Å, b = 8.3572 Å, c = 8.3572 Å
α = 95.31°, β = 95.31°, γ = 95.31°
Last column: nearest neighbours and their distance in Å.
Atoms (fractional coordinates):
1 Tl 0.4270 0.1960 0.5216  4 Hg 3.23-3.43, 4 Tl 3.32-3.60
2 Tl 0.1960 0.5216 0.4270  4 Hg 3.23-3.43, 4 Tl 3.32-3.60
3 Tl 0.5216 0.4270 0.1960  4 Hg 3.23-3.43, 4 Tl 3.32-3.60
4 Tl 0.5730 0.8040 0.4784  4 Hg 3.23-3.43, 4 Tl 3.32-3.60
5 Tl 0.8040 0.4784 0.5730  4 Hg 3.23-3.43, 4 Tl 3.32-3.60
6 Tl 0.4784 0.5730 0.8040  4 Hg 3.23-3.43, 4 Tl 3.32-3.60
7 Tl 0.9002 0.0190 0.6708  1 Pt 2.82
8 Tl 0.3292 0.0998 0.9810  1 Pt 2.82
9 Tl 0.9810 0.3292 0.0998  1 Pt 2.82
10 Tl 0.0998 0.9810 0.3292  1 Pt 2.82
11 Tl 0.6708 0.9002 0.0190  1 Pt 2.82
12 Tl 0.0190 0.6708 0.9002  1 Pt 2.82
13 Hg 0.1450 0.3364 0.7439  8 Tl 3.17-3.43
14 Hg 0.6636 0.2561 0.8550  8 Tl 3.17-3.43
15 Hg 0.2561 0.8550 0.6636  8 Tl 3.17-3.43
16 Hg 0.8550 0.6636 0.2561  8 Tl 3.17-3.43
17 Hg 0.3364 0.7439 0.1450  8 Tl 3.17-3.43
18 Hg 0.7439 0.1450 0.3364  8 Tl 3.17-3.43
19 Pt 0.0000 0.0000 0.0000  6 Tl 2.82

Computed properties:
**Calculated formation energy**: 22 meV per atom
**E**: -1.886 eV per atom



No. 6
VASP calculation (GGA-PBE) on a relaxed structure of BaY2H.

a = 3.6451 Å, b = 3.6451 Å, c = 10.1544 Å
α = 79.66°, β = 79.66°, γ = 60.00°
Last column: nearest neighbours and their distance in Å.
Atoms (fractional coordinates):
1 Y 0.1225 0.1225 0.6325  3 H 2.48
2 Y 0.8775 0.8775 0.3675  3 H 2.48
3 H 0.5000 0.5000 0.5000  6 Y 2.48
4 Ba 0.0000 0.0000 0.0000  6 Ba 3.65, 2 Y 3.65

Computed properties:
**Offset from the most stable computed form**: 0.053 eV/atom
**E**: -4.538 eV per atom



> What is the E in the first record?

-6.861 eV per atom



> The lowest E belongs to which entry?

Sc2TiCr